Compound: CrFe3F8
Source: the Alexandria database
Functional: GGA+U
Structure: optimized geometry

Crystal system: orthorhombic
Size of the total moment: 1.00 μB/atom
Uncorrected energy: -0.399 Ry/atom

a b c (Å): 5.5707 10.2753 6.2935
angles (deg): 90.00 90.00 90.00
Space group C222 (No. 21)
Asymmetric unit:
Cr 0.0000 0.0000 0.0000
Fe 0.0000 0.0000 0.5000
Fe 0.2500 0.2500 0.2524
F 0.0000 0.2055 0.5000
F 0.0000 0.2121 0.0000
F 0.2444 0.0456 0.2559